A plane-wave DFT calculation with SCAN was carried out for a crystal of Dy4MnS7 relaxed with PBEsol.

```
12
Lattice="3.756 0.000 0.000 -1.878 6.171 -0.019 0.000 -2.918 10.850" Properties=species:S:1:pos:R:3 pbc="T T T"
Dy 0.000 3.152 2.152
Dy 1.878 0.005 8.593
Dy 1.878 6.101 0.064
Dy 1.878 3.160 6.111
Mn 0.000 0.243 4.594
S 0.000 1.347 6.920
S 1.878 1.818 3.785
S 1.878 1.820 0.517
S 0.000 1.376 10.258
S 1.878 5.065 2.492
S 0.000 -1.879 8.528
S 1.878 -1.231 5.550
```

magnetic moment = 5.00 μB/f.u.
space group = Cm (8)
formation energy from raw total energies = -25.54 eV per formula unit


A plane-wave DFT calculation with SCAN was carried out for a crystal of Sr2CaP2 relaxed with PBEsol.

```
10
Lattice="4.070 0.000 0.000 0.000 8.085 0.000 0.000 0.000 8.085" Properties=species:S:1:pos:R:3 pbc="T T T"
Sr 2.035 1.100 5.143
Sr 2.035 5.143 6.985
Sr 2.035 6.985 2.942
Sr 2.035 2.942 1.100
Ca 0.000 0.000 0.000
Ca 0.000 4.043 4.043
P 0.000 2.653 6.696
P 0.000 6.696 5.432
P 0.000 5.432 1.390
P 0.000 1.390 2.653
```

formation energy = -1090 meV/atom
magnetic moment = 0.00 μB/f.u.
space group = P4/mbm (127)


A plane-wave DFT calculation with SCAN was carried out for a crystal of AlCdCl2 relaxed with PBEsol.

```
4
Lattice="3.592 0.000 0.000 0.000 5.422 -0.028 -1.796 -2.504 5.024" Properties=species:S:1:pos:R:3 pbc="T T T"
Cl 1.796 2.642 4.794
Cl 1.796 0.000 2.677
Al 1.796 3.917 0.990
Cd 0.000 1.987 1.518
```

magnetic moment = 0.00 μB/f.u.
space group = Cm (8)
formation energy from raw total energies = -3.11 eV per formula unit
polymorph energy (0 for the lowest one) = 0 kJ/mol of formula units


A plane-wave DFT calculation with SCAN was carried out for a crystal of Ta3AlFe8 relaxed with PBEsol.

```
12
Lattice="4.662 0.000 0.000 -2.331 4.038 0.000 0.000 0.000 7.702" Properties=species:S:1:pos:R:3 pbc="T T T"
Ta 0.000 2.692 4.313
Ta 0.000 2.692 7.179
Ta 0.000 0.000 0.589
Al 0.000 0.000 3.398
Fe 2.331 1.346 3.839
Fe 2.331 1.346 7.642
Fe 1.145 2.031 1.934
Fe 0.000 4.013 1.934
Fe -1.145 2.031 1.934
Fe 3.528 0.655 5.768
Fe 2.331 2.728 5.768
Fe 1.134 0.655 5.768
```

formation energy = -114 meV/atom
magnetic moment = 7.64 μB/f.u.
space group = P3m1 (156)


A plane-wave DFT calculation with SCAN was carried out for a crystal of Sc3InRu relaxed with PBEsol.

```
5
Lattice="-0.533 -0.193 4.879 2.445 -4.259 0.099 4.227 2.439 0.558" Properties=species:S:1:pos:R:3 pbc="T T T"
Sc 1.222 -2.129 0.049
Sc 2.113 1.220 0.279
Sc -0.266 -0.096 2.439
Ru 0.000 0.000 0.000
In 3.069 -1.006 2.768
```

formation energy = -285 meV/atom
magnetic moment = 0.00 μB/f.u.
space group = Pm-3m (221)
polymorph energy (0 for the lowest one) = 0 kJ/mol of formula units


A plane-wave DFT calculation with SCAN was carried out for a crystal of CaMgCd relaxed with PBEsol.

```
12
Lattice="6.020 -0.012 0.000 -2.960 5.242 0.000 0.000 0.000 9.654" Properties=species:S:1:pos:R:3 pbc="T T T"
Ca 0.019 3.498 3.044
Ca 3.003 1.753 1.901
Ca 3.003 1.753 7.752
Ca 0.019 3.498 6.610
Mg 4.555 0.845 4.827
Mg 1.532 4.365 0.000
Mg 0.005 1.756 0.000
Mg -1.464 4.366 0.000
Cd 6.013 -0.008 2.406
Cd 6.013 -0.008 7.248
Cd 1.567 0.869 4.827
Cd 3.070 3.437 4.827
```

formation energy = -320 meV/atom
magnetic moment = 0.00 μB/f.u.
space group = Amm2 (38)


A plane-wave DFT calculation with SCAN was carried out for a crystal of Cd3Ag2 relaxed with PBEsol.

```
5
Lattice="-4.518 -0.828 0.262 2.999 -3.473 0.340 0.191 0.706 5.528" Properties=species:S:1:pos:R:3 pbc="T T T"
Ag 0.657 -1.985 5.057
Ag -1.986 -1.609 1.073
Cd 0.000 0.000 0.000
Cd 0.562 -2.335 2.320
Cd -1.891 -1.260 3.810
```

formation energy = -17 meV/atom
magnetic moment = 0.00 μB/f.u.
space group = P-3m1 (164)
polymorph energy (0 for the lowest one) = 13 kJ/mol of formula units


A plane-wave DFT calculation with SCAN was carried out for a crystal of AgSbAu relaxed with PBEsol.

```
3
Lattice="-4.339 0.437 -1.243 -3.309 -0.863 2.977 -2.502 3.399 1.657" Properties=species:S:1:pos:R:3 pbc="T T T"
Sb 0.000 0.000 0.000
Au -2.537 0.743 0.848
Ag -5.075 1.487 1.695
```

magnetic moment = 0.00 μB/f.u.
space group = F-43m (216)
formation energy from raw total energies = -0.29 eV per formula unit
polymorph energy (0 for the lowest one) = 0 kJ/mol of formula units


A plane-wave DFT calculation with SCAN was carried out for a crystal of ScAs2Pt relaxed with PBEsol.

```
4
Lattice="-0.371 2.314 -3.986 -2.227 -1.902 -3.578 -4.099 1.677 -1.327" Properties=species:S:1:pos:R:3 pbc="T T T"
As 0.000 0.000 0.000
As -5.023 1.567 -6.668
Pt -3.349 1.044 -4.446
Sc -1.674 0.522 -2.223
```

formation energy = -466 meV/atom
magnetic moment = 0.00 μB/f.u.
space group = F-43m (216)
polymorph energy (0 for the lowest one) = 134 kJ/mol of formula units


A plane-wave DFT calculation with SCAN was carried out for a crystal of Nb2CoP6O21 relaxed with PBEsol.

```
60
Lattice="-4.906 3.941 -1.853 -3.458 -6.103 -3.823 -7.696 -3.754 12.955" Properties=species:S:1:pos:R:3 pbc="T T T"
Nb -9.126 -1.142 9.715
Nb -4.403 -4.021 2.419
Nb -11.658 -1.895 4.860
Nb -6.935 -4.774 -2.435
Co -6.301 0.094 5.551
Co -1.729 -3.052 -1.911
P -4.532 2.420 -1.743
P -9.274 -7.088 4.778
P -9.540 0.198 6.590
P -6.520 -6.114 0.689
P -6.882 -1.481 -1.524
P -11.807 -4.230 7.362
P -6.836 -3.031 4.656
P -11.529 -8.336 9.023
P -9.178 -4.435 8.803
P -6.786 1.172 2.501
P -9.225 -2.885 2.624
P -4.254 -1.686 -0.083
O -8.079 -0.969 -0.697
O -12.529 -5.484 6.820
O -10.387 -7.469 9.408
O -10.383 -3.374 -0.990
O -6.930 -3.026 -1.505
O -4.679 -2.540 1.145
O -5.357 1.070 1.932
O -9.263 -4.989 10.179
O -6.311 -5.641 -0.776
O -5.629 -1.070 -0.622
O -7.982 -4.947 7.977
O -9.750 -0.275 8.056
O -10.704 -6.986 5.348
O -4.104 2.216 -0.278
O -7.040 -4.352 5.422
O -11.382 -3.376 6.135
O -3.535 -2.455 -1.125
O -7.042 0.315 3.687
O -7.770 0.895 1.342
O -6.797 -0.927 -2.899
O -5.088 -4.473 -3.036
O -5.674 1.553 -2.128
O -5.607 -3.189 3.730
O -6.817 -1.850 5.554
O -9.244 -4.066 1.725
O -10.432 -4.846 7.902
O -12.525 -3.461 8.404
O -3.532 -0.432 0.459
O -10.143 -0.886 5.668
O -8.151 0.613 6.290
O -9.130 -2.890 8.785
O -8.290 -6.811 5.938
O -5.678 -2.542 8.270
O -10.972 -1.443 10.316
O -5.918 -5.030 1.611
O -7.910 -6.529 0.990
O -9.018 -6.231 3.592
O -11.957 -8.132 7.557
O 0.000 0.000 0.000
O -10.454 -2.728 3.549
O -8.030 -2.958 3.640
O -9.020 -1.564 1.858
```

magnetic moment = 2.86 μB/f.u.
space group = P2_1/c (14)
formation energy from raw total energies = -72.76 eV per formula unit


A plane-wave DFT calculation with SCAN was carried out for a crystal of LiNbTeN2 relaxed with PBEsol.

```
5
Lattice="4.006 0.000 0.000 0.000 4.006 0.000 0.000 0.000 5.756" Properties=species:S:1:pos:R:3 pbc="T T T"
Nb 0.000 0.000 0.000
Te 0.000 0.000 2.878
Li 2.003 2.003 2.878
N 0.000 2.003 0.000
N 2.003 0.000 0.000
```

magnetic moment = 1.79 μB/f.u.
space group = P4/mmm (123)
formation energy from raw total energies = 0.03 eV per formula unit
polymorph energy (0 for the lowest one) = 0 kJ/mol of formula units


A plane-wave DFT calculation with SCAN was carried out for a crystal of TlNi3H relaxed with PBEsol.

```
5
Lattice="-2.383 0.390 2.877 -2.587 -1.974 -1.876 1.317 -3.172 1.521" Properties=species:S:1:pos:R:3 pbc="T T T"
Ni -1.293 -0.987 -0.938
Ni 0.659 -1.586 0.760
Ni -1.192 0.195 1.438
Tl -1.826 -2.378 1.261
H 0.000 0.000 0.000
```

magnetic moment = 0.00 μB/f.u.
space group = Pm-3m (221)
electronic total energy = -24.752 eV per atom


A plane-wave DFT calculation with SCAN was carried out for a crystal of NaSrSc2Cu relaxed with PBEsol.

```
5
Lattice="-2.883 -1.062 4.031 4.168 -0.660 2.807 -0.073 5.721 1.454" Properties=species:S:1:pos:R:3 pbc="T T T"
Sc 2.084 -0.330 1.404
Sc -1.442 -0.531 2.016
Sr -0.037 2.860 0.727
Cu 0.000 0.000 0.000
Na 0.606 2.000 4.146
```

formation energy = 256 meV/atom
magnetic moment = 0.00 μB/f.u.
space group = P4/mmm (123)


A plane-wave DFT calculation with SCAN was carried out for a crystal of Y2ScP2 relaxed with PBEsol.

```
10
Lattice="-0.823 1.559 -3.424 -7.082 -0.232 1.596 0.440 6.637 2.916" Properties=species:S:1:pos:R:3 pbc="T T T"
Y -1.228 5.097 0.450
Y -4.686 6.229 1.797
Y -6.237 2.866 0.638
Y -2.779 1.735 -0.708
Sc 0.000 0.000 0.000
Sc -3.321 3.203 2.256
P -2.092 5.548 3.029
P -5.719 4.130 3.255
P -4.550 0.857 1.484
P -0.923 2.275 1.258
```

formation energy = -1427 meV/atom
magnetic moment = 0.00 μB/f.u.
space group = P4/mbm (127)


A plane-wave DFT calculation with SCAN was carried out for a crystal of Tl2SbP relaxed with PBEsol.

```
4
Lattice="0.008 -2.012 2.524 -0.572 -4.596 -3.664 5.473 1.743 1.370" Properties=species:S:1:pos:R:3 pbc="T T T"
P 2.454 -2.432 0.115
Sb 0.004 -1.006 1.262
Tl 2.737 0.871 0.685
Tl -0.286 -2.298 -1.832
```

magnetic moment = 0.00 μB/f.u.
space group = Cmmm (65)
formation energy from raw total energies = 1.54 eV per formula unit
polymorph energy (0 for the lowest one) = 110 kJ/mol of formula units


A plane-wave DFT calculation with SCAN was carried out for a crystal of AlOs2Pt relaxed with PBEsol.

```
4
Lattice="2.729 0.000 0.000 0.000 4.674 0.011 -1.364 -0.978 4.421" Properties=species:S:1:pos:R:3 pbc="T T T"
Os 0.000 0.696 2.289
Os 1.364 2.999 2.143
Al 0.000 2.337 0.006
Pt 1.364 0.000 0.000
```

formation energy = -191 meV/atom
magnetic moment = 0.00 μB/f.u.
space group = C2/m (12)


A plane-wave DFT calculation with SCAN was carried out for a crystal of CaPt2Cl relaxed with PBEsol.

```
4
Lattice="2.963 0.000 0.000 0.000 4.627 0.000 0.000 0.000 5.291" Properties=species:S:1:pos:R:3 pbc="T T T"
Ca 1.482 2.314 0.000
Pt 0.000 0.000 3.979
Pt 0.000 0.000 1.313
Cl 1.482 2.314 2.646
```

magnetic moment = 0.00 μB/f.u.
space group = Pmmm (47)
formation energy from raw total energies = -1.58 eV per formula unit
polymorph energy (0 for the lowest one) = 228 kJ/mol of formula units


A plane-wave DFT calculation with SCAN was carried out for a crystal of HgTe2Pt relaxed with PBEsol.

```
4
Lattice="4.002 0.000 0.000 -2.001 3.467 -0.022 0.000 -2.254 7.199" Properties=species:S:1:pos:R:3 pbc="T T T"
Te 2.001 0.049 5.789
Te 0.000 1.164 1.388
Hg 0.000 -1.127 3.599
Pt 2.001 0.000 0.000
```

magnetic moment = 0.00 μB/f.u.
space group = C2/m (12)
formation energy from raw total energies = -1.41 eV per formula unit


A plane-wave DFT calculation with SCAN was carried out for a crystal of SrLiMg relaxed with PBEsol.

```
3
Lattice="-1.106 -3.187 -1.989 4.835 -0.323 -2.169 -1.031 -2.495 4.571" Properties=species:S:1:pos:R:3 pbc="T T T"
Sr 2.511 -2.109 -0.585
Mg 0.003 -4.428 0.667
Li -0.921 -2.656 -1.658
```

formation energy = 27 meV/atom
magnetic moment = 0.01 μB/f.u.
space group = P-6m2 (187)
polymorph energy (0 for the lowest one) = 13 kJ/mol of formula units


A plane-wave DFT calculation with SCAN was carried out for a crystal of Tc2TeIr relaxed with PBEsol.

```
4
Lattice="-1.638 2.397 -0.458 -3.814 -2.554 0.276 -0.176 0.761 4.614" Properties=species:S:1:pos:R:3 pbc="T T T"
Ir -1.995 -0.896 2.445
Tc 0.000 0.000 0.000
Tc -2.726 -0.078 -0.091
Te -0.907 1.579 2.078
```

magnetic moment = 0.14 μB/f.u.
space group = Pmmm (47)
formation energy from raw total energies = 2.32 eV per formula unit